VASP calculation (GGA-PBE) on an optimized crystal structure of Cs2AlAgI6.

Summary:
Raw total energy: -26.4 eV for the cell shown

abc: 8.214 8.214 8.214
angles: 61.12 61.12 61.12
Positions (direct):
1 Ag 0.501 0.501 0.501
2 Cs 0.251 0.251 0.251
3 Cs 0.748 0.748 0.748
4 I 0.277 0.764 0.202
5 I 0.202 0.277 0.764
6 I 0.235 0.799 0.723
7 I 0.723 0.235 0.799
8 I 0.799 0.723 0.235
9 I 0.764 0.202 0.277
10 Al 0.001 0.001 0.001